Model 1:
Crystalline NdSmAg4 at its relaxed geometry. Source: Alexandria, functional PBE.

CIF file:
```
data_NdSmAg4
_cell_length_a 7.132
_cell_length_b 16.570
_cell_length_c 4.815
_cell_angle_alpha 90.00
_cell_angle_beta 90.00
_cell_angle_gamma 90.00
_symmetry_space_group_name_H-M 'C m c m'
_symmetry_Int_Tables_number 63
_symmetry_space_group_name_Hall '-C 2c 2'
loop_
_atom_site_label
_atom_site_type_symbol
_atom_site_fract_x
_atom_site_fract_y
_atom_site_fract_z
Nd1 Nd 0.000 0.121 0.250
Sm1 Sm 0.000 0.370 0.750
Ag1 Ag 0.231 0.458 0.250
Ag2 Ag 0.247 0.291 0.250
```

Properties
crystal system	orthorhombic
D(E_F)	20.58	states/eV/cell
mass density	8.48	g cm⁻³

Model 2:
Crystalline NdSmAg4 at its relaxed geometry. Source: Alexandria, functional PBE.

CIF file:
```
data_NdSmAg4
_cell_length_a 3.968
_cell_length_b 3.968
_cell_length_c 9.838
_cell_angle_alpha 90.00
_cell_angle_beta 90.00
_cell_angle_gamma 90.00
_symmetry_space_group_name_H-M 'P 4/m m m'
_symmetry_Int_Tables_number 123
_symmetry_space_group_name_Hall '-P 4 2'
loop_
_atom_site_label
_atom_site_type_symbol
_atom_site_fract_x
_atom_site_fract_y
_atom_site_fract_z
Nd1 Nd 0.000 0.000 0.000
Sm1 Sm 0.500 0.500 0.500
Ag1 Ag 0.000 0.500 0.253
```

Properties
crystal system	tetragonal
D(E_F)	3.95	states/eV/cell
mass density	7.78	g cm⁻³

Model 3:
Crystalline NdSmAg4 at its relaxed geometry. Source: Alexandria, functional PBE.

CIF file:
```
data_NdSmAg4
_cell_length_a 8.171
_cell_length_b 8.171
_cell_length_c 8.171
_cell_angle_alpha 90.00
_cell_angle_beta 90.00
_cell_angle_gamma 90.00
_symmetry_space_group_name_H-M 'F -4 3 m'
_symmetry_Int_Tables_number 216
_symmetry_space_group_name_Hall 'F -4 2 3'
loop_
_atom_site_label
_atom_site_type_symbol
_atom_site_fract_x
_atom_site_fract_y
_atom_site_fract_z
Nd1 Nd 0.000 0.000 0.000
Sm1 Sm 0.250 0.250 0.250
Ag1 Ag 0.125 0.125 0.625
```

Properties
crystal system	cubic
D(E_F)	19.06	states/eV/cell
mass density	8.84	g cm⁻³

Question: of the structures shown, which is the least stable? Reply: model 2.